No. 1
A plane-wave DFT calculation with PBE was carried out for a relaxed structure of LaNd2Er12.

* V: 1023.9 Å³/cell

Cell: 6.3901 6.3901 25.0759 Å, 90.00 90.00 90.00°
Last column: nearest neighbours and their distance in Å.
Space group P4/nbm (No. 125, origin choice 2)
Symmetry-distinct sites (fractional):
La: 0.2500 0.7500 0.0000 x2  4 Er 3.43
Nd: 0.2500 0.7500 0.2754 x4  8 Er 3.51-3.61
Er: 0.0666 0.5666 0.1197 x8  7 Er 3.31-3.39, 1 La 3.43
Er: 0.0811 0.5811 0.4404 x8  8 Er 3.05-3.42
Er: 0.2500 0.2500 0.2175 x4  5 Er 3.13-3.39
Er: 0.2500 0.2500 0.3424 x4  5 Er 3.13-3.42

---

No. 2
A plane-wave DFT calculation with PBE was carried out for a relaxed structure of LaNd6Er3.

* relative energy among the computed polymorphs: 85 kJ/mol of formula units
* V: 1042.0 Å³/cell

Cell: 9.9819 9.9819 12.0757 Å, 90.00 90.00 120.00°
Last column: nearest neighbours and their distance in Å.
Space group R32 (No. 155, hexagonal axes)
Symmetry-distinct sites (fractional):
La: 0.0000 0.0000 0.0000 x3  2 Er 3.07, 3 Nd 3.30
Nd: 0.0000 0.3306 0.0000 x9  1 La 3.30, 2 Er 3.47
Nd: 0.0000 0.6731 0.5000 x9  3 Er 3.26-3.52
Er: 0.0000 0.0000 0.2543 x6  1 Er 2.97, 1 La 3.07
Er: 0.0000 0.0000 0.5000 x3  2 Er 2.97, 3 Nd 3.26

---

No. 3
A plane-wave DFT calculation with PBE was carried out for a relaxed structure of La4Nd2Er5.

* relative energy among the computed polymorphs: 0 kJ/mol of formula units
* V: 748.4 Å³/cell

Cell: 19.3324 5.7498 6.7328 Å, 90.00 90.59 90.00°
Last column: nearest neighbours and their distance in Å.
Space group C2/m (No. 12)
Symmetry-distinct sites (fractional):
La: 0.0218 0.0000 0.2888 x4  1 La 2.97, 1 Er 3.16
La: 0.1937 0.5000 0.0809 x4  7 Er 3.39-3.78, 1 Nd 3.71, 2 La 3.77
Nd: 0.1000 0.5000 0.5588 x4  6 Er 3.56-3.74, 6 La 3.71-3.94, 1 Nd 3.94
Er: 0.0000 0.5000 0.0000 x2  6 La 3.49-3.78, 2 Nd 3.56, 4 Er 3.91
Er: 0.1307 0.0000 0.8833 x4  5 La 3.16-3.47
Er: 0.2103 0.0000 0.4023 x4  4 Er 3.51-3.80, 5 La 3.61-3.93, 3 Nd 3.67-3.74

---

No. 4
A plane-wave DFT calculation with PBE was carried out for a relaxed structure of La2Nd5Er2.

* relative energy among the computed polymorphs: 149 kJ/mol of formula units
* V: 1259.2 Å³/cell

Cell: 15.1058 12.0594 6.9125 Å, 90.00 90.00 90.00°
Last column: nearest neighbours and their distance in Å.
Space group Ima2 (No. 46)
Symmetry-distinct sites (fractional):
La: 0.1257 0.0035 0.0000 x8  4 Nd 3.41-3.64, 2 Er 3.70-3.76, 2 La 3.76-3.80
Nd: 0.0533 0.7498 0.1477 x8  4 Nd 3.20-3.46, 1 Er 3.35, 1 La 3.41
Nd: 0.1431 0.2338 0.3170 x8  4 Nd 3.20-3.48, 2 La 3.42-3.55, 1 Er 3.52
Nd: 0.2500 0.7406 0.3509 x4  6 Nd 3.29-3.61, 1 Er 3.47, 2 La 3.64
Er: 0.0000 0.0000 0.4692 x4  4 Nd 3.35-3.71
Er: 0.2500 0.0080 0.5381 x4  4 Nd 3.47-3.70, 2 La 3.70, 2 Er 3.81

---

No. 5
A plane-wave DFT calculation with PBE was carried out for a relaxed structure of LaNd4Er8.

* V: 1434.5 Å³/cell

Cell: 11.0516 11.0516 13.5619 Å, 90.00 90.00 120.00°
Last column: nearest neighbours and their distance in Å.
Space group R-3m (No. 166, hexagonal axes)
Symmetry-distinct sites (fractional):
La: 0.0000 0.0000 0.0000 x3  8 Er 3.54-3.55, 6 Nd 3.91
Nd: 0.0000 0.0000 0.5000 x3  8 Er 3.23
Nd: 0.0000 0.5000 0.5000 x9  8 Er 3.44
Er: 0.0000 0.0000 0.2615 x6  4 Nd 3.23-3.44, 1 La 3.55
Er: 0.0153 0.5077 0.2468 x18  4 Nd 3.23-3.44, 1 La 3.54

---

No. 6
A plane-wave DFT calculation with PBE was carried out for a relaxed structure of LaNd15Er4.

* V: 688.7 Å³/cell

Cell: 5.1688 5.1688 25.7797 Å, 90.00 90.00 90.00°
Last column: nearest neighbours and their distance in Å.
Space group P4/mmm (No. 123)
Symmetry-distinct sites (fractional):
La: 0.0000 0.0000 0.0000 x1  12 Nd 3.65-3.70
Nd: 0.0000 0.5000 0.1028 x4  2 Er 3.64, 8 Nd 3.65-3.70, 2 La 3.70
Nd: 0.0000 0.5000 0.3014 x4  8 Nd 3.62-3.65, 4 Er 3.64
Nd: 0.0000 0.5000 0.5000 x2  4 Er 3.64, 8 Nd 3.64-3.65
Nd: 0.5000 0.5000 0.0000 x1  4 La 3.65, 8 Nd 3.70
Nd: 0.5000 0.5000 0.2031 x2  8 Nd 3.62-3.66, 4 Er 3.66
Nd: 0.5000 0.5000 0.4008 x2  8 Nd 3.64, 4 Er 3.65
Er: 0.0000 0.0000 0.2020 x2  12 Nd 3.64-3.66
Er: 0.0000 0.0000 0.4008 x2  12 Nd 3.64-3.65

---

No. 7
A plane-wave DFT calculation with PBE was carried out for a relaxed structure of LaNd2Er8.

* relative energy among the computed polymorphs: 18 kJ/mol of formula units
* V: 722.0 Å³/cell

Cell: 16.4474 6.6411 6.7011 Å, 90.00 99.47 90.00°
Last column: nearest neighbours and their distance in Å.
Space group C2/m (No. 12)
Symmetry-distinct sites (fractional):
La: 0.0000 0.0000 0.0000 x2  8 Er 3.38-3.72
Nd: 0.2425 0.0000 0.2963 x4  9 Er 3.26-3.50
Er: 0.0883 0.5000 0.9058 x4  1 Nd 3.29, 6 Er 3.35-3.68
Er: 0.0891 0.2646 0.4096 x8  3 Er 3.13-3.42, 2 Nd 3.26-3.49, 1 La 3.38
Er: 0.2065 0.0000 0.7909 x4  4 Nd 3.34-3.50, 3 Er 3.42-3.64

---

No. 8
A plane-wave DFT calculation with PBE was carried out for a relaxed structure of La4Nd2Er5.

* relative energy among the computed polymorphs: 43 kJ/mol of formula units
* V: 761.3 Å³/cell

Cell: 24.4106 3.5834 8.7389 Å, 90.00 95.20 90.00°
Last column: nearest neighbours and their distance in Å.
Space group C2/m (No. 12)
Symmetry-distinct sites (fractional):
La: 0.0422 0.0000 0.3433 x4  1 Nd 3.48, 8 Er 3.57-3.72, 3 La 3.57-3.58
La: 0.2332 0.5000 0.8264 x4  3 Nd 3.52-3.68, 4 La 3.55-3.58, 4 Er 3.59-3.60
Nd: 0.1809 0.0000 0.4761 x4  4 La 3.48-3.68, 4 Nd 3.58-3.81, 4 Er 3.62-3.66
Er: 0.0000 0.5000 0.0000 x2  6 Er 3.45-3.58, 4 La 3.57
Er: 0.0886 0.5000 0.7055 x4  4 Er 3.51-3.71, 5 La 3.59-3.72, 2 Nd 3.62
Er: 0.1387 0.5000 0.1190 x4  4 Er 3.45-3.71, 5 La 3.60-3.67, 2 Nd 3.66

---

Sequential E_form output: 4.66 2.29 1.04 1.73 6.82 0.28 1.92 1.48 eV/f.u.